Tl2Cr2OsO6 | GGA+U | relaxed

abc: 5.3301 9.2765 6.9515
angles: 90.00 102.33 90.00
Space group C2/m (No. 12)
Asymmetric unit:
Tl 0.0000 0.1658 0.0000 (multiplicity 4)
Cr 0.0000 0.3332 0.5000 (multiplicity 4)
Os 0.0000 0.0000 0.5000 (multiplicity 2)
O 0.2046 0.1672 0.6476 (multiplicity 8)
O 0.2150 0.5000 0.6462 (multiplicity 4)

Computed properties:
For the density, the calculation gives 7.90 g cm⁻³. As for the total energy: -6.7367 eV per atom.